This record from Alexandria via LeMat-Bulk describes a relaxed structure of La2ErPb. The functional is PBE-GGA.

Output
Density (g/cm3): 7.65
Electronic total energy (eV/atom): -4.4784
M_tot (μB/cell): 0.00
Calculated formation energy (eV per atom): 0.05
Energy above the lowest structure with this stoichiometry (eV/atom): 0.386

a b c (Å): 3.6263 3.6263 37.2930
angles (deg): 90.00 90.00 120.00
Space group R-3m (No. 166, hexagonal axes)
Asymmetric unit:
La  0.0000  0.0000  0.0892 [6 per cell]
Er  0.0000  0.0000  0.5000 [3 per cell]
Pb  0.0000  0.0000  0.0000 [3 per cell]



This record from Alexandria via LeMat-Bulk describes a relaxed structure of HoTmSn2. The functional is PBE-GGA.

Output
Density (g/cm3): 9.13
Electronic total energy (eV/atom): -4.8588
M_tot (μB/cell): 0.00
Calculated formation energy (eV per atom): -0.60

a b c (Å): 3.4547 3.4547 8.7085
angles (deg): 90.00 90.00 90.00
Space group P4/mmm (No. 123)
Asymmetric unit:
Ho  0.0000  0.0000  0.0000 [1 per cell]
Tm  0.0000  0.0000  0.5000 [1 per cell]
Sn  0.5000  0.5000  0.2519 [2 per cell]



> Which of these has the lowest density?

La2ErPb